Record 1
First-principles (PBE) data for a geometry-optimized Li3Ac8Co2 structure, as listed in Alexandria.

For the total magnetic moment, the calculation gives 0.0 μB per formula unit. The calculation puts the formation energy at 0.058 eV/atom.

Lattice parameters (Å, degrees): 6.7508 7.7145 9.5481 113.83 100.15 90.00
Atoms (fractional coordinates):
Ac: 0.1028 0.8030 0.6059
Li: 0.0000 0.1569 0.0000
Ac: 0.7970 0.5844 0.1687
Ac: 0.6367 0.1026 0.7023
Ac: 0.3633 0.8974 0.2977
Co: 0.3411 0.2700 0.5401
Ac: 0.6367 0.5997 0.7023
Li: 0.0000 0.8431 0.0000
Ac: 0.8972 0.1970 0.3941
Ac: 0.3633 0.4003 0.2977
Co: 0.6589 0.7300 0.4599
Li: 0.5000 0.0000 0.0000
Ac: 0.2030 0.4156 0.8313



Record 2
First-principles (PBE) data for a geometry-optimized Li2Ac5Co4 structure, as listed in Alexandria.

For the total magnetic moment, the calculation gives 2.5 μB per formula unit. The calculation puts the formation energy at 0.112 eV/atom.

Lattice parameters (Å, degrees): 4.0876 8.0285 10.5120 96.41 101.21 90.00
Site moments in Bohr magnetons follow the coordinates.
Atoms (fractional coordinates):
Li: 0.7208 0.6235 0.4416  -0.01
Co: 0.4098 0.2813 0.8196  0.89
Ac: 0.0874 0.4237 0.1748  -0.05
Co: 0.5902 0.7187 0.1804  0.89
Li: 0.2792 0.3765 0.5584  -0.01
Ac: 0.5000 0.0000 0.0000  -0.04
Ac: 0.8338 0.0572 0.6676  -0.04
Co: 0.0468 0.7518 0.0935  0.67
Co: 0.9532 0.2482 0.9065  0.67
Ac: 0.9126 0.5763 0.8252  -0.05
Ac: 0.1662 0.9428 0.3325  -0.04



Record 3
First-principles (PBE) data for a geometry-optimized LiAc3Co structure, as listed in Alexandria.

For the total magnetic moment, the calculation gives 0.0 μB per formula unit. The calculation puts the formation energy at 0.024 eV/atom.

Lattice parameters (Å, degrees): 5.6667 5.6667 5.6667 90.00 90.00 90.00
Atoms (fractional coordinates):
Li: 0.5000 0.5000 0.5000
Ac: 0.0000 0.0000 0.5000
Ac: 0.5000 0.0000 0.0000
Ac: 0.0000 0.5000 0.0000
Co: 0.0000 0.0000 0.0000



Record 4
First-principles (PBE) data for a geometry-optimized LiAc2Co structure, as listed in Alexandria.

For the total magnetic moment, the calculation gives 0.0 μB per formula unit. The calculation puts the formation energy at 0.038 eV/atom.

Lattice parameters (Å, degrees): 4.1614 4.1614 9.2277 76.97 76.97 60.00
Atoms (fractional coordinates):
Co: 0.6658 0.6658 0.0026
Ac: 0.0588 0.0588 0.8237
Li: 0.5012 0.5012 0.4964
Ac: 0.2742 0.2742 0.1773



Record 5
First-principles (PBE) data for a geometry-optimized LiAc2Co structure, as listed in Alexandria.

For the total magnetic moment, the calculation gives 0.8 μB per formula unit. The calculation puts the formation energy at 0.121 eV/atom.

Lattice parameters (Å, degrees): 3.7161 3.7161 8.5271 90.00 90.00 90.00
Site moments in Bohr magnetons follow the coordinates.
Atoms (fractional coordinates):
Co: 0.5000 0.5000 0.0000  1.00
Ac: 0.0000 0.0000 0.2067  -0.05
Li: 0.5000 0.5000 0.5000  0.01
Ac: 0.0000 0.0000 0.7933  -0.05



Record 6
First-principles (PBE) data for a geometry-optimized Li3Ac12Co5 structure, as listed in Alexandria.

For the total magnetic moment, the calculation gives 0.0 μB per formula unit. The calculation puts the formation energy at 0.220 eV/atom.

Lattice parameters (Å, degrees): 15.6191 15.6191 15.6191 109.47 109.47 109.47
Atoms (fractional coordinates):
Li: 0.3750 0.6250 0.2500
Li: 0.7500 0.3750 0.1250
Co: 0.2500 0.8750 0.1250
Li: 0.6250 0.3750 0.7500
Ac: 0.5867 0.8863 0.4058
Co: 0.8750 0.2500 0.6250
Li: 0.1250 0.8750 0.7500
Ac: 0.2004 0.6809 0.0867
Ac: 0.3191 0.5195 0.4058
Ac: 0.4805 0.6809 0.0942
Li: 0.2500 0.1250 0.3750
Li: 0.7500 0.8750 0.6250
Ac: 0.9133 0.8191 0.7996
Ac: 0.7004 0.1137 0.0195
Co: 0.0000 0.5000 0.5000
Ac: 0.6137 0.0195 0.2004
Co: 0.8750 0.6250 0.7500
Ac: 0.0867 0.9058 0.3863
Ac: 0.0195 0.6137 0.7004
Li: 0.8750 0.1250 0.2500
Ac: 0.8191 0.9133 0.2996
Ac: 0.9133 0.0942 0.6137
Co: 0.5000 0.0000 0.5000
Ac: 0.5942 0.9805 0.6809
Ac: 0.5195 0.2004 0.1137
Ac: 0.9805 0.5942 0.1809
Ac: 0.9805 0.3863 0.2996
Ac: 0.4133 0.2996 0.3191
Ac: 0.1137 0.7004 0.5195
Co: 0.5000 0.0000 0.0000
Ac: 0.6137 0.5942 0.9133
Co: 0.0000 0.0000 0.5000
Ac: 0.0195 0.4058 0.8191
Ac: 0.8863 0.2996 0.4805
Co: 0.5000 0.5000 0.0000
Co: 0.2500 0.3750 0.6250
Ac: 0.4133 0.1137 0.5942
Ac: 0.1809 0.0867 0.7004
Ac: 0.1137 0.4133 0.0942
Co: 0.5000 0.5000 0.5000
Ac: 0.0867 0.1809 0.2004
Li: 0.8750 0.7500 0.1250
Ac: 0.5942 0.6137 0.4133
Ac: 0.9058 0.0867 0.8863
Ac: 0.0942 0.1809 0.4805
Ac: 0.7996 0.3191 0.9133
Ac: 0.7996 0.4805 0.3863
Ac: 0.0942 0.9133 0.1137
Co: 0.6250 0.8750 0.2500
Li: 0.3750 0.7500 0.6250
Li: 0.6250 0.2500 0.3750
Co: 0.3750 0.2500 0.1250
Co: 0.0000 0.5000 0.0000
Ac: 0.4805 0.7996 0.8863
Ac: 0.6809 0.2004 0.5867
Ac: 0.1809 0.0942 0.9805
Ac: 0.2996 0.8863 0.9805
Co: 0.3750 0.1250 0.7500
Ac: 0.5195 0.3191 0.9058
Ac: 0.2004 0.5195 0.6137
Li: 0.2500 0.6250 0.8750
Ac: 0.9058 0.8191 0.5195
Co: 0.7500 0.1250 0.8750
Ac: 0.5867 0.7004 0.6809
Co: 0.6250 0.7500 0.8750
Co: 0.1250 0.3750 0.2500
Ac: 0.2996 0.4133 0.8191
Ac: 0.3863 0.9805 0.7996
Ac: 0.3191 0.7996 0.4133
Ac: 0.4058 0.3863 0.5867
Ac: 0.6809 0.4805 0.5942
Co: 0.1250 0.7500 0.3750
Co: 0.7500 0.6250 0.3750
Ac: 0.8191 0.9058 0.0195
Ac: 0.7004 0.5867 0.1809
Co: 0.0000 0.0000 0.0000
Ac: 0.4058 0.0195 0.3191
Ac: 0.8863 0.5867 0.9058
Ac: 0.3863 0.4058 0.0867
Li: 0.1250 0.2500 0.8750



Record 7
First-principles (PBE) data for a geometry-optimized LiAc9Co3 structure, as listed in Alexandria.

For the total magnetic moment, the calculation gives 0.0 μB per formula unit. The calculation puts the formation energy at 0.033 eV/atom.

Lattice parameters (Å, degrees): 7.1726 11.0710 12.2420 90.00 96.89 90.00
Atoms (fractional coordinates):
Co: 0.0000 0.0000 0.0000
Ac: 0.7495 0.0535 0.5533
Ac: 0.4388 0.2500 0.3090
Ac: 0.2997 0.2500 0.6483
Li: 0.9942 0.2500 0.4005
Ac: 0.1524 0.2500 0.9800
Ac: 0.2505 0.9465 0.4467
Ac: 0.6564 0.4309 0.8722
Ac: 0.3436 0.5691 0.1278
Ac: 0.7003 0.7500 0.3517
Ac: 0.5612 0.7500 0.6910
Co: 0.5683 0.9981 0.3327
Co: 0.4317 0.0019 0.6673
Ac: 0.1529 0.5633 0.8073
Ac: 0.8471 0.4367 0.1927
Li: 0.0058 0.7500 0.5995
Co: 0.4317 0.4981 0.6673
Ac: 0.3436 0.9309 0.1278
Ac: 0.8471 0.0633 0.1927
Ac: 0.6564 0.0691 0.8722
Ac: 0.1529 0.9367 0.8073
Co: 0.0000 0.5000 0.0000
Ac: 0.8476 0.7500 0.0200
Co: 0.5683 0.5019 0.3327
Ac: 0.2505 0.5535 0.4467
Ac: 0.7495 0.4465 0.5533



Record 8
First-principles (PBE) data for a geometry-optimized LiAc8Co4 structure, as listed in Alexandria.

For the total magnetic moment, the calculation gives 0.0 μB per formula unit. The calculation puts the formation energy at -0.013 eV/atom.

Lattice parameters (Å, degrees): 4.2547 10.3997 10.6668 82.41 78.50 78.20
Atoms (fractional coordinates):
Ac: 0.8536 0.9879 0.3049
Li: 0.5157 0.0014 0.9672
Co: 0.8534 0.5042 0.7889
Ac: 0.5566 0.6543 0.2325
Ac: 0.8097 0.3445 0.0360
Co: 0.1780 0.4991 0.1449
Co: 0.3712 0.8284 0.4292
Ac: 0.4748 0.3491 0.7013
Ac: 0.1520 0.3224 0.3735
Ac: 0.2217 0.6588 0.8978
Ac: 0.8793 0.6812 0.5602
Ac: 0.1779 0.0157 0.6286
Co: 0.6602 0.1751 0.5044



Record 9
First-principles (PBE) data for a geometry-optimized LiAc4Co2 structure, as listed in Alexandria.

For the total magnetic moment, the calculation gives 0.0 μB per formula unit. The calculation puts the formation energy at 0.028 eV/atom.

Lattice parameters (Å, degrees): 4.3120 7.3679 14.7602 90.00 90.00 107.01
Atoms (fractional coordinates):
Ac: 0.2359 0.4718 0.6043
Ac: 0.0755 0.1510 0.2500
Ac: 0.5000 0.0000 0.0000
Co: 0.8686 0.7372 0.5653
Ac: 0.9245 0.8490 0.7500
Ac: 0.2359 0.4718 0.8957
Ac: 0.7641 0.5282 0.1043
Co: 0.1314 0.2628 0.0653
Li: 0.3813 0.7626 0.2500
Co: 0.8686 0.7372 0.9347
Li: 0.6187 0.2374 0.7500
Ac: 0.7641 0.5282 0.3957
Ac: 0.5000 0.0000 0.5000
Co: 0.1314 0.2628 0.4347



Record 10
First-principles (PBE) data for a geometry-optimized LiAcCo structure, as listed in Alexandria.

For the total magnetic moment, the calculation gives 0.3 μB per formula unit. For the energy above the lowest structure with this stoichiometry, the calculation gives 0 meV/atom. The calculation puts the formation energy at 0.031 eV/atom.

Lattice parameters (Å, degrees): 4.0245 4.0184 12.2627 89.95 80.55 60.05
Site moments in Bohr magnetons follow the coordinates.
Atoms (fractional coordinates):
Ac: 0.0552 0.2429 0.4581  -0.04
Ac: 0.2764 0.1331 0.1234  -0.04
Li: 0.7777 0.3815 0.8724  0.00
Li: 0.5527 0.9947 0.7093  0.00
Co: 0.4994 0.5212 0.2918  0.44
Co: 0.8321 0.8549 0.2898  0.44



Record 11
First-principles (PBE) data for a geometry-optimized LiAcCo structure, as listed in Alexandria.

For the total magnetic moment, the calculation gives 0.7 μB per formula unit. For the energy above the lowest structure with this stoichiometry, the calculation gives 43 meV/atom. The calculation puts the formation energy at 0.073 eV/atom.

Lattice parameters (Å, degrees): 4.0660 5.4239 7.0725 100.45 106.71 90.00
Site moments in Bohr magnetons follow the coordinates.
Atoms (fractional coordinates):
Co: 0.7645 0.0923 0.5290  0.90
Li: 0.4045 0.1872 0.8089  -0.01
Co: 0.2355 0.9077 0.4710  0.90
Ac: 0.1304 0.3301 0.2609  -0.05
Li: 0.5955 0.8128 0.1911  -0.01
Ac: 0.8696 0.6699 0.7391  -0.05



Record 12
First-principles (PBE) data for a geometry-optimized LiAc2Co structure, as listed in Alexandria.

For the total magnetic moment, the calculation gives 0.0 μB per formula unit. The calculation puts the formation energy at 0.042 eV/atom.

Lattice parameters (Å, degrees): 4.1306 4.1306 9.3296 77.21 77.21 60.00
Atoms (fractional coordinates):
Li: 0.5000 0.5000 0.5000
Co: 0.0000 0.0000 0.0000
Ac: 0.2744 0.2744 0.1768
Ac: 0.7256 0.7256 0.8232



Record 13
First-principles (PBE) data for a geometry-optimized LiAc7Co3 structure, as listed in Alexandria.

For the total magnetic moment, the calculation gives 0.0 μB per formula unit. The calculation puts the formation energy at 0.047 eV/atom.

Lattice parameters (Å, degrees): 7.2624 7.1925 7.2624 99.50 95.24 99.50
Atoms (fractional coordinates):
Co: 0.2262 0.0000 0.7738
Ac: 0.1455 0.2149 0.1455
Co: 0.7738 0.0000 0.2262
Li: 0.5000 0.5000 0.5000
Ac: 0.6375 0.2683 0.0328
Ac: 0.8545 0.7851 0.8545
Ac: 0.3625 0.7317 0.9672
Ac: 0.5000 0.0000 0.5000
Co: 0.0000 0.5000 0.0000
Ac: 0.0328 0.2683 0.6375
Ac: 0.9672 0.7317 0.3625



Record 14
First-principles (PBE) data for a geometry-optimized LiAc6Co2 structure, as listed in Alexandria.

For the total magnetic moment, the calculation gives 0.0 μB per formula unit. The calculation puts the formation energy at -0.002 eV/atom.

Lattice parameters (Å, degrees): 9.1864 9.1864 9.1864 107.65 108.52 112.28
Atoms (fractional coordinates):
Ac: 0.6811 0.3575 0.6764
Li: 0.0000 0.0000 0.0000
Ac: 0.4715 0.2929 0.1785
Ac: 0.1978 0.7778 0.9756
Co: 0.5000 0.3887 0.8887
Ac: 0.8856 0.7071 0.1785
Ac: 0.3189 0.6425 0.3236
Ac: 0.3189 0.9953 0.6764
Li: 0.0000 0.5000 0.5000
Co: 0.5000 0.6113 0.1113
Co: 0.3321 0.0000 0.3321
Ac: 0.1144 0.2929 0.8215
Ac: 0.1978 0.2222 0.4199
Ac: 0.6811 0.0047 0.3236
Ac: 0.8022 0.2222 0.0244
Ac: 0.8022 0.7778 0.5801
Ac: 0.5285 0.7071 0.8215
Co: 0.6679 0.0000 0.6679



Record 15
First-principles (PBE) data for a geometry-optimized LiAc12Co6 structure, as listed in Alexandria.

For the total magnetic moment, the calculation gives 0.0 μB per formula unit. The calculation puts the formation energy at -0.029 eV/atom.

Lattice parameters (Å, degrees): 9.2448 9.2448 9.2448 109.47 109.47 109.47
Atoms (fractional coordinates):
Co: 0.6080 0.5000 0.1080
Ac: 0.8106 0.6854 0.4960
Ac: 0.4960 0.8106 0.6854
Ac: 0.5040 0.1894 0.3146
Ac: 0.8749 0.1894 0.6854
Co: 0.3920 0.5000 0.8920
Ac: 0.6854 0.4960 0.8106
Ac: 0.3146 0.5040 0.1894
Co: 0.5000 0.8920 0.3920
Co: 0.8920 0.3920 0.5000
Ac: 0.3146 0.1251 0.8106
Ac: 0.6854 0.8749 0.1894
Ac: 0.8106 0.3146 0.1251
Co: 0.1080 0.6080 0.5000
Ac: 0.1894 0.3146 0.5040
Li: 0.0000 0.0000 0.0000
Ac: 0.1251 0.8106 0.3146
Ac: 0.1894 0.6854 0.8749
Co: 0.5000 0.1080 0.6080



Record 16
First-principles (PBE) data for a geometry-optimized LiAcLuCo structure, as listed in Alexandria.

For the total magnetic moment, the calculation gives 0.0 μB per formula unit. The calculation puts the formation energy at 0.060 eV/atom.

Lattice parameters (Å, degrees): 5.0561 5.0561 5.0561 60.00 60.00 60.00
Atoms (fractional coordinates):
Lu: 0.7500 0.7500 0.7500
Co: 0.5000 0.5000 0.5000
Li: 0.0000 0.0000 0.0000
Ac: 0.2500 0.2500 0.2500



Record 17
First-principles (PBE) data for a geometry-optimized LiAcMgCo structure, as listed in Alexandria.

For the total magnetic moment, the calculation gives 0.0 μB per formula unit. The calculation puts the formation energy at 0.156 eV/atom.

Lattice parameters (Å, degrees): 4.9708 4.9708 4.9708 60.00 60.00 60.00
Atoms (fractional coordinates):
Ac: 0.7500 0.7500 0.7500
Co: 0.5000 0.5000 0.5000
Li: 0.0000 0.0000 0.0000
Mg: 0.2500 0.2500 0.2500



Record 18
First-principles (PBE) data for a geometry-optimized LiAcNdCo structure, as listed in Alexandria.

For the total magnetic moment, the calculation gives 0.0 μB per formula unit. The calculation puts the formation energy at 0.116 eV/atom.

Lattice parameters (Å, degrees): 5.1859 5.1859 5.1859 60.00 60.00 60.00
Atoms (fractional coordinates):
Nd: 0.2500 0.2500 0.2500
Co: 0.5000 0.5000 0.5000
Ac: 0.7500 0.7500 0.7500
Li: 0.0000 0.0000 0.0000